The following is a DFT calculation (PBE-GGA) of crystalline Sr2HoAl7Ag2 at its relaxed geometry.

**E_tot**: -0.1320 Ha/atom
**SG**: R-3m, No. 166
**Total magnetization**: 0.00 μB per formula unit

```
data_Sr2HoAl7Ag2
_chemical_formula_sum 'Sr2 Ho1 Al7 Ag2'
_cell_length_a 9.634
_cell_length_b 9.634
_cell_length_c 9.634
_cell_angle_alpha 34.28
_cell_angle_beta 34.28
_cell_angle_gamma 34.28
_symmetry_space_group_name_H-M 'P 1'
_symmetry_Int_Tables_number 1
_symmetry_space_group_name_Hall 'P 1'
loop_
_atom_site_label
_atom_site_fract_x
_atom_site_fract_y
_atom_site_fract_z
Ag1 0.336 0.336 0.336
Ag2 0.664 0.664 0.664
Al1 0.583 0.583 0.074
Al2 0.926 0.417 0.417
Al3 0.417 0.926 0.417
Al4 0.500 0.500 0.500
Al5 0.583 0.074 0.583
Al6 0.074 0.583 0.583
Al7 0.417 0.417 0.926
Ho1 0.000 0.000 0.000
Sr1 0.142 0.142 0.142
Sr2 0.858 0.858 0.858
```

The following is a DFT calculation (PBE-GGA) of crystalline RbDyC2O6 at its relaxed geometry.

**E_tot**: -0.2759 Ha/atom
**SG**: C2/c, No. 15
**Total magnetization**: 0.00 μB per formula unit

```
data_RbDyC2O6
_chemical_formula_sum 'Rb2 Dy2 C4 O12'
_cell_length_a 6.367
_cell_length_b 6.367
_cell_length_c 6.860
_cell_angle_alpha 103.12
_cell_angle_beta 103.12
_cell_angle_gamma 96.43
_symmetry_space_group_name_H-M 'P 1'
_symmetry_Int_Tables_number 1
_symmetry_space_group_name_Hall 'P 1'
loop_
_atom_site_label
_atom_site_fract_x
_atom_site_fract_y
_atom_site_fract_z
C1 0.391 0.147 0.244
C2 0.853 0.609 0.256
C3 0.147 0.391 0.744
C4 0.609 0.853 0.756
Dy1 0.403 0.597 0.250
Dy2 0.597 0.403 0.750
O1 0.703 0.468 0.105
O2 0.255 0.221 0.116
O3 0.394 0.944 0.221
O4 0.056 0.606 0.279
O5 0.779 0.745 0.384
O6 0.532 0.297 0.395
O7 0.468 0.703 0.605
O8 0.221 0.255 0.616
O9 0.944 0.394 0.721
O10 0.606 0.056 0.779
O11 0.745 0.779 0.884
O12 0.297 0.532 0.895
Rb1 0.879 0.121 0.250
Rb2 0.121 0.879 0.750
```

The following is a DFT calculation (PBE-GGA) of crystalline TbTaN2O at its relaxed geometry.

**E_tot**: -0.3516 Ha/atom
**SG**: P1, No. 1
**Total magnetization**: 0.00 μB per formula unit

```
data_TbTaN2O
_chemical_formula_sum 'Tb4 Ta4 N8 O4'
_cell_length_a 5.594
_cell_length_b 5.611
_cell_length_c 9.688
_cell_angle_alpha 73.54
_cell_angle_beta 73.54
_cell_angle_gamma 60.30
_symmetry_space_group_name_H-M 'P 1'
_symmetry_Int_Tables_number 1
_symmetry_space_group_name_Hall 'P 1'
loop_
_atom_site_label
_atom_site_fract_x
_atom_site_fract_y
_atom_site_fract_z
N1 0.014 0.237 0.124
N2 0.149 0.661 0.158
N3 0.360 0.841 0.340
N4 0.917 0.396 0.410
N5 0.105 0.574 0.601
N6 0.518 0.728 0.627
N7 0.666 0.145 0.651
N8 0.398 0.907 0.903
O1 0.588 0.100 0.082
O2 0.506 0.263 0.361
O3 0.833 0.332 0.843
O4 0.978 0.748 0.883
Ta1 0.014 0.000 0.011
Ta2 0.228 0.259 0.256
Ta3 0.493 0.521 0.503
Ta4 0.740 0.768 0.742
Tb1 0.600 0.658 0.125
Tb2 0.898 0.854 0.381
Tb3 0.099 0.150 0.630
Tb4 0.395 0.358 0.870
```